Entry 1:
# Th2Sn9Pb

A geometry-optimized Th2Sn9Pb structure (PBE, Alexandria).

a = 4.726 Å, b = 4.726 Å, c = 14.852 Å
α = 90.00°, β = 90.00°, γ = 90.00°
Space group P4/mmm (No. 123)
One atom of each set of equivalent atoms:
Th (0.000, 0.000, 0.155)
Sn (0.000, 0.500, 0.000)
Sn (0.000, 0.500, 0.328)
Sn (0.500, 0.500, 0.164)
Sn (0.500, 0.500, 0.500)
Pb (0.000, 0.000, 0.500)

The energy of formation from the pure elements comes out at -0.247 eV per atom.



Entry 2:
# Mg6AlSb

A geometry-optimized Mg6AlSb structure (PBE, Alexandria).

a = 5.254 Å, b = 6.280 Å, c = 10.833 Å
α = 90.00°, β = 90.00°, γ = 90.00°
Space group Amm2 (No. 38)
One atom of each set of equivalent atoms:
Mg (0.000, 0.000, 0.000)
Mg (0.000, 0.000, 0.497)
Mg (0.000, 0.243, 0.249)
Mg (0.500, 0.249, 0.582)
Al (0.500, 0.000, 0.334)
Sb (0.500, 0.000, 0.832)

The calculation puts the uncorrected formation energy at -29 meV per atom.



Entry 3:
# KNaLaW2

A geometry-optimized KNaLaW2 structure (PBE, Alexandria).

a = 5.131 Å, b = 5.131 Å, c = 4.818 Å
α = 90.00°, β = 90.00°, γ = 90.00°
Space group P4/mmm (No. 123)
One atom of each set of equivalent atoms:
K (0.000, 0.000, 0.000)
Na (0.000, 0.000, 0.500)
La (0.500, 0.500, 0.500)
W (0.000, 0.500, 0.000)

The energy of formation from the pure elements comes out at 2.496 eV per atom.



Entry 4:
# Li2MoH5

A geometry-optimized Li2MoH5 structure (PBE, Alexandria).

a = 2.815 Å, b = 4.969 Å, c = 5.091 Å
α = 112.62°, β = 104.59°, γ = 91.04°
Space group P1 (No. 1)
One atom of each set of equivalent atoms:
Li (0.000, 0.000, 0.000)
Li (0.434, 0.404, 0.819)
Mo (0.220, 0.665, 0.414)
H (0.037, 0.400, 0.041)
H (0.200, 0.313, 0.393)
H (0.387, 0.006, 0.752)
H (0.641, 0.793, 0.231)
H (0.824, 0.613, 0.644)

The value obtained for the uncorrected energy is -32.80 eV/cell.



These records have magnetization values of 0.000 0.000 3.297 0.156 μB per cell, in the order they appear.